Below is crystalline TlHg6S8 at its relaxed geometry, with properties calculated at the GGA-PBE level.

- size of the total moment (μB per formula unit) = 0.0
- crystal system = trigonal
- raw formation energy (eV/f.u.) = -0.111
- space-group type = R-3, No. 148

Unit cell a=7.1747 b=7.1747 c=7.1747 alpha=97.86 beta=97.86 gamma=97.86
Closest atoms and distances in Å follow each position.
Fractional coordinates of all 15 atoms:
Tl1 0.0000 0.0000 0.0000  6 S 3.08
Hg1 0.1394 0.2812 0.6152  4 S 2.54-2.73
Hg2 0.2812 0.6152 0.1394  4 S 2.54-2.73
Hg3 0.3848 0.8606 0.7188  4 S 2.54-2.73
Hg4 0.6152 0.1394 0.2812  4 S 2.54-2.73
Hg5 0.7188 0.3848 0.8606  4 S 2.54-2.73
Hg6 0.8606 0.7188 0.3848  4 S 2.54-2.73
S1 0.1054 0.6256 0.8103  3 Hg 2.54-2.73
S2 0.1897 0.8946 0.3744  3 Hg 2.54-2.73
S3 0.3744 0.1897 0.8946  3 Hg 2.54-2.73
S4 0.4026 0.4026 0.4026  1 S 2.06
S5 0.5974 0.5974 0.5974  1 S 2.06
S6 0.6256 0.8103 0.1054  3 Hg 2.54-2.73
S7 0.8103 0.1054 0.6256  3 Hg 2.54-2.73
S8 0.8946 0.3744 0.1897  3 Hg 2.54-2.73